No. 1
VASP calculation (PBE-GGA) on a relaxed structure of HoInGaPt.

Properties
Formation enthalpy at 0 K (eV per atom): -0.665
DFT total energy (eV per formula unit): -19.04
DOS(E_F) (states/eV/cell): 3.58
Crystal system: cubic

Unit cell a=4.852 b=4.852 c=4.852 alpha=60.00 beta=60.00 gamma=60.00
Positions (direct):
Ga 0.250 0.250 0.250
In 0.500 0.500 0.500
Ho 0.000 0.000 0.000
Pt 0.750 0.750 0.750



No. 2
VASP calculation (PBE-GGA) on a relaxed structure of ZrAl2CN.

Properties
Formation energy (no corrections) (meV/atom): 347
DFT total energy (eV per formula unit): -31.85
DOS(E_F) (states/eV/cell): 2.04
Crystal system: tetragonal

Unit cell a=3.706 b=4.903 c=3.706 alpha=90.00 beta=90.00 gamma=90.00
Positions (direct):
Al 0.000 0.000 0.500
C 0.000 0.000 0.000
Zr 0.000 0.500 0.000
N 0.500 0.500 0.500
Al 0.500 0.000 0.000



No. 3
VASP calculation (PBE-GGA) on a relaxed structure of KBaCa2.

Properties
Formation enthalpy at 0 K (eV per atom): 0.143
DFT total energy (eV per formula unit): -6.45
DOS(E_F) (states/eV/cell): 4.71
Crystal system: orthorhombic

Unit cell a=4.518 b=6.751 c=6.842 alpha=90.00 beta=90.00 gamma=90.00
Positions (direct):
Ca 0.500 0.500 0.000
K 0.500 0.000 0.500
Ba 0.000 0.500 0.500
Ca 0.000 0.000 0.000



No. 4
VASP calculation (PBE-GGA) on a relaxed structure of AgHPb2Cl6.

Properties
DFT total energy (eV per formula unit): -33.21
DOS(E_F) (states/eV/cell): 0.00
Crystal system: monoclinic

Unit cell a=7.602 b=6.044 c=12.400 alpha=90.00 beta=92.89 gamma=90.00
Positions (direct):
Cl 0.842 0.294 0.661
Pb 0.503 0.501 0.308
Cl 0.826 0.258 0.350
Pb 0.003 0.999 0.808
Cl 0.674 0.758 0.150
Cl 0.619 0.789 0.508
Ag 0.000 0.500 0.500
Pb 0.997 0.001 0.192
Cl 0.658 0.794 0.839
Cl 0.158 0.706 0.339
Cl 0.381 0.211 0.492
H 0.500 0.000 0.500
Cl 0.174 0.742 0.650
Ag 0.500 0.000 0.000
H 0.000 0.500 0.000
Cl 0.342 0.206 0.161
Cl 0.881 0.289 0.992
Pb 0.497 0.499 0.692
Cl 0.119 0.711 0.008
Cl 0.326 0.242 0.850



No. 5
VASP calculation (PBE-GGA) on a relaxed structure of NaInOs3.

Properties
Formation enthalpy at 0 K (eV per atom): 2.683
DFT total energy (eV per formula unit): -24.33
DOS(E_F) (states/eV/cell): 7.03
Crystal system: cubic

Unit cell a=4.970 b=4.970 c=4.970 alpha=90.00 beta=90.00 gamma=90.00
Positions (direct):
Os 0.500 0.000 0.000
Na 0.500 0.500 0.500
Os 0.000 0.000 0.500
In 0.000 0.000 0.000
Os 0.000 0.500 0.000



No. 6
VASP calculation (PBE-GGA) on a relaxed structure of Mg2ScAg.

Properties
Formation enthalpy at 0 K (eV per atom): -0.031
DFT total energy (eV per formula unit): -12.50
DOS(E_F) (states/eV/cell): 4.15
Crystal system: trigonal

Unit cell a=10.008 b=10.008 c=10.008 alpha=18.25 beta=18.25 gamma=18.25
Positions (direct):
Ag 0.750 0.750 0.750
Mg 0.006 0.006 0.006
Sc 0.250 0.250 0.250
Mg 0.494 0.494 0.494



No. 7
VASP calculation (PBE-GGA) on a relaxed structure of Cr2HRh.

Properties
DFT total energy (eV per formula unit): -28.51
DOS(E_F) (states/eV/cell): 5.99
Crystal system: trigonal

Unit cell a=2.648 b=2.648 c=7.037 alpha=79.15 beta=79.15 gamma=60.00
Positions (direct):
Cr 0.886 0.886 0.343
Cr 0.114 0.114 0.657
H 0.500 0.500 0.500
Rh 0.000 0.000 0.000



No. 8
VASP calculation (PBE-GGA) on a relaxed structure of CsSrN3.

Properties
Formation energy (no corrections) (meV/atom): 1456
DFT total energy (eV per formula unit): -20.23
DOS(E_F) (states/eV/cell): 5.07
Crystal system: cubic

Unit cell a=5.011 b=5.011 c=5.011 alpha=90.00 beta=90.00 gamma=90.00
Positions (direct):
Sr 0.000 0.000 0.000
Cs 0.500 0.500 0.500
N 0.500 0.000 0.000
N 0.000 0.500 0.000
N 0.000 0.000 0.500



No. 9
VASP calculation (PBE-GGA) on a relaxed structure of Ca2PmEu.

Properties
Formation enthalpy at 0 K (eV per atom): 0.207
DFT total energy (eV per formula unit): -18.20
DOS(E_F) (states/eV/cell): 6.17
Crystal system: trigonal

Unit cell a=3.681 b=3.681 c=13.759 alpha=82.31 beta=82.31 gamma=60.00
Positions (direct):
Ca 0.913 0.913 0.260
Ca 0.087 0.087 0.740
Eu 0.500 0.500 0.500
Pm 0.000 0.000 0.000



No. 10
VASP calculation (PBE-GGA) on a relaxed structure of SrY2Zn.

Properties
Formation enthalpy at 0 K (eV per atom): 0.031
DFT total energy (eV per formula unit): -15.76
DOS(E_F) (states/eV/cell): 4.31
Crystal system: orthorhombic

Unit cell a=6.825 b=6.825 c=5.470 alpha=66.38 beta=66.38 gamma=32.56
Positions (direct):
Zn 0.488 0.488 0.512
Y 0.801 0.801 0.699
Y 0.001 0.001 0.999
Sr 0.210 0.210 0.290



No. 11
VASP calculation (PBE-GGA) on a relaxed structure of NpSO6.

Properties
Formation energy (no corrections) (meV/atom): -1501
DFT total energy (eV per formula unit): -58.83
DOS(E_F) (states/eV/cell): 6.02
Crystal system: monoclinic

Unit cell a=5.141 b=5.141 c=5.284 alpha=99.57 beta=99.57 gamma=115.74
Positions (direct):
O 0.196 0.196 0.782
Np 0.000 0.000 0.000
O 0.203 0.459 0.316
O 0.459 0.203 0.316
S 0.500 0.500 0.500
O 0.797 0.541 0.684
O 0.541 0.797 0.684
O 0.804 0.804 0.218



No. 12
VASP calculation (PBE-GGA) on a relaxed structure of YSi2W.

Properties
Formation energy (no corrections) (meV/atom): -154
DFT total energy (eV per formula unit): -30.88
DOS(E_F) (states/eV/cell): 3.24
Crystal system: trigonal

Unit cell a=6.975 b=6.975 c=6.975 alpha=30.35 beta=30.35 gamma=30.35
Positions (direct):
Y 0.750 0.750 0.750
Si 0.512 0.512 0.512
Si 0.988 0.988 0.988
W 0.250 0.250 0.250



No. 13
VASP calculation (PBE-GGA) on a relaxed structure of La3SmMg.

Properties
Formation enthalpy at 0 K (eV per atom): -0.016
DFT total energy (eV per formula unit): -21.17
DOS(E_F) (states/eV/cell): 14.05
Crystal system: triclinic

Unit cell a=3.833 b=9.137 c=10.235 alpha=103.55 beta=100.80 gamma=89.99
Positions (direct):
La 0.227 0.739 0.712
Mg 0.819 0.552 0.897
Sm 0.015 0.154 0.286
La 0.604 0.486 0.463
Sm 0.816 0.071 0.890
La 0.413 0.846 0.082
La 0.213 0.283 0.684
La 0.617 0.942 0.491
Mg 0.011 0.673 0.278
La 0.418 0.379 0.093